(1)
This record from Alexandria via LeMat-Bulk describes crystalline Cs4NaTh3S8 at its relaxed geometry. The functional is PBE.

The structure in CIF format:
```
data_Cs4NaTh3S8
_chemical_formula_sum 'Cs12 Na3 Th9 S24'
_cell_length_a 8.5153
_cell_length_b 8.5153
_cell_length_c 24.1622
_cell_angle_alpha 90.00
_cell_angle_beta 90.00
_cell_angle_gamma 120.00
_symmetry_space_group_name_H-M 'R -3 m'
_symmetry_Int_Tables_number 166
_symmetry_space_group_name_Hall '-R 3 2"'
loop_
_atom_site_label
_atom_site_fract_x
_atom_site_fract_y
_atom_site_fract_z
Cs1 0.0000 0.0000 0.0000
Cs2 0.0000 0.5000 0.0000
Na1 0.0000 0.0000 0.5000
Th1 0.0000 0.5000 0.5000
S1 0.0000 0.0000 0.2286
S2 0.0200 0.5100 0.7721
```

The value obtained for the density of states at the Fermi level is 16.2 states/eV/cell. Its crystal system is trigonal. Its uncorrected formation energy is -1.64 eV/atom.

***

(2)
This record from Alexandria via LeMat-Bulk describes crystalline Y2NbAs2 at its relaxed geometry. The functional is PBE.

The structure in CIF format:
```
data_Y2NbAs2
_chemical_formula_sum 'Y4 Nb2 As4'
_cell_length_a 7.208
_cell_length_b 7.208
_cell_length_c 4.102
_cell_angle_alpha 90.00
_cell_angle_beta 90.00
_cell_angle_gamma 90.00
_symmetry_space_group_name_H-M 'P 4/m b m'
_symmetry_Int_Tables_number 127
_symmetry_space_group_name_Hall '-P 4 2ab'
loop_
_atom_site_label
_atom_site_fract_x
_atom_site_fract_y
_atom_site_fract_z
Y1 0.167 0.333 0.000
Nb1 0.000 0.000 0.500
As1 0.143 0.643 0.500
```

The value obtained for the density of states at the Fermi level is 14.1 states/eV/cell. The formation energy is -0.9299 eV/atom. Its crystal system is tetragonal.

***

(3)
This record from Alexandria via LeMat-Bulk describes crystalline LiNpRh2 at its relaxed geometry. The functional is PBE.

The structure in CIF format:
```
data_LiNpRh2
_chemical_formula_sum 'Li3 Np3 Rh6'
_cell_length_a 2.8321
_cell_length_b 2.8321
_cell_length_c 27.2726
_cell_angle_alpha 90.00
_cell_angle_beta 90.00
_cell_angle_gamma 120.00
_symmetry_space_group_name_H-M 'R -3 m'
_symmetry_Int_Tables_number 166
_symmetry_space_group_name_Hall '-R 3 2"'
loop_
_atom_site_label
_atom_site_fract_x
_atom_site_fract_y
_atom_site_fract_z
Li1 0.0000 0.0000 0.0000
Np1 0.0000 0.0000 0.5000
Rh1 0.0000 0.0000 0.2554
```

The value obtained for the density of states at the Fermi level is 13.5 states/eV/cell. The formation energy is -0.1026 eV/atom. Its crystal system is trigonal.

***

(4)
This record from Alexandria via LeMat-Bulk describes crystalline HgRu5 at its relaxed geometry. The functional is PBE.

The structure in CIF format:
```
data_HgRu5
_chemical_formula_sum 'Hg2 Ru10'
_cell_length_a 4.403
_cell_length_b 2.793
_cell_length_c 14.663
_cell_angle_alpha 90.00
_cell_angle_beta 90.00
_cell_angle_gamma 90.00
_symmetry_space_group_name_H-M 'A m m 2'
_symmetry_Int_Tables_number 38
_symmetry_space_group_name_Hall 'A 2 -2'
loop_
_atom_site_label
_atom_site_fract_x
_atom_site_fract_y
_atom_site_fract_z
Hg1 0.000 0.000 0.000
Ru1 0.000 0.000 0.322
Ru2 0.000 0.000 0.674
Ru3 0.500 0.000 0.115
Ru4 0.500 0.000 0.432
Ru5 0.500 0.000 0.774
```

The value obtained for the density of states at the Fermi level is 14.1 states/eV/cell. The value obtained for the distance to the lowest polymorph of the same formula is 0.043 eV per atom. The formation energy is 0.3404 eV/atom. Its crystal system is orthorhombic.

***

(5)
This record from Alexandria via LeMat-Bulk describes crystalline YCrIr2 at its relaxed geometry. The functional is PBE.

The structure in CIF format:
```
data_YCrIr2
_chemical_formula_sum 'Y3 Cr3 Ir6'
_cell_length_a 2.9645
_cell_length_b 2.9645
_cell_length_c 26.5496
_cell_angle_alpha 90.00
_cell_angle_beta 90.00
_cell_angle_gamma 120.00
_symmetry_space_group_name_H-M 'R -3 m'
_symmetry_Int_Tables_number 166
_symmetry_space_group_name_Hall '-R 3 2"'
loop_
_atom_site_label
_atom_site_fract_x
_atom_site_fract_y
_atom_site_fract_z
Y1 0.0000 0.0000 0.0000
Cr1 0.0000 0.0000 0.5000
Ir1 0.0000 0.0000 0.2404
```

The value obtained for the density of states at the Fermi level is 14.6 states/eV/cell. The value obtained for the distance to the lowest polymorph of the same formula is 0.458 eV per atom. The formation energy is 0.1712 eV/atom. Its crystal system is trigonal.

***

(6)
This record from Alexandria via LeMat-Bulk describes crystalline NaTlNO at its relaxed geometry. The functional is PBE.

The structure in CIF format:
```
data_NaTlNO
_chemical_formula_sum 'Na3 Tl3 N3 O3'
_cell_length_a 3.4163
_cell_length_b 3.4163
_cell_length_c 17.3838
_cell_angle_alpha 90.00
_cell_angle_beta 90.00
_cell_angle_gamma 120.00
_symmetry_space_group_name_H-M 'R 3 m'
_symmetry_Int_Tables_number 160
_symmetry_space_group_name_Hall 'R 3 -2"'
loop_
_atom_site_label
_atom_site_fract_x
_atom_site_fract_y
_atom_site_fract_z
Na1 0.0000 0.0000 0.0000
Tl1 0.0000 0.0000 0.4938
N1 0.0000 0.0000 0.2348
O1 0.0000 0.0000 0.7523
```

The value obtained for the density of states at the Fermi level is 5.7 states/eV/cell. The value obtained for the distance to the lowest polymorph of the same formula is 0.159 eV per atom. Its crystal system is trigonal. Its uncorrected formation energy is 0.04 eV/atom.

***

(7)
This record from Alexandria via LeMat-Bulk describes crystalline Pm5Ho3S8 at its relaxed geometry. The functional is PBE.

The structure in CIF format:
```
data_Pm5Ho3S8
_chemical_formula_sum 'Pm15 Ho9 S24'
_cell_length_a 7.9323
_cell_length_b 7.9323
_cell_length_c 19.6286
_cell_angle_alpha 90.00
_cell_angle_beta 90.00
_cell_angle_gamma 120.00
_symmetry_space_group_name_H-M 'R -3 m'
_symmetry_Int_Tables_number 166
_symmetry_space_group_name_Hall '-R 3 2"'
loop_
_atom_site_label
_atom_site_fract_x
_atom_site_fract_y
_atom_site_fract_z
Pm1 0.0000 0.0000 0.0000
Pm2 0.0000 0.0000 0.5000
Pm3 0.0000 0.5000 0.0000
Ho1 0.0000 0.5000 0.5000
S1 0.0000 0.0000 0.2450
S2 0.0068 0.5034 0.7535
```

The value obtained for the density of states at the Fermi level is 24.4 states/eV/cell. Its crystal system is trigonal. Its uncorrected formation energy is -2.01 eV/atom.

***

(8)
This record from Alexandria via LeMat-Bulk describes crystalline Y4TeSe at its relaxed geometry. The functional is PBE.

The structure in CIF format:
```
data_Y4TeSe
_chemical_formula_sum 'Y16 Te4 Se4'
_cell_length_a 8.916
_cell_length_b 8.916
_cell_length_c 8.916
_cell_angle_alpha 90.00
_cell_angle_beta 90.00
_cell_angle_gamma 90.00
_symmetry_space_group_name_H-M 'F -4 3 m'
_symmetry_Int_Tables_number 216
_symmetry_space_group_name_Hall 'F -4 2 3'
loop_
_atom_site_label
_atom_site_fract_x
_atom_site_fract_y
_atom_site_fract_z
Y1 0.125 0.125 0.125
Te1 0.000 0.000 0.500
Se1 0.250 0.250 0.750
```

The value obtained for the density of states at the Fermi level is 24.6 states/eV/cell. The value obtained for the distance to the lowest polymorph of the same formula is 0.846 eV per atom. Its crystal system is cubic. Its uncorrected formation energy is -0.05 eV/atom.

***

(9)
This record from Alexandria via LeMat-Bulk describes crystalline Fe2PtRh at its relaxed geometry. The functional is PBE.

The structure in CIF format:
```
data_Fe2PtRh
_chemical_formula_sum 'Fe4 Pt2 Rh2'
_cell_length_a 3.753
_cell_length_b 3.753
_cell_length_c 7.819
_cell_angle_alpha 90.00
_cell_angle_beta 90.00
_cell_angle_gamma 90.00
_symmetry_space_group_name_H-M 'I -4 m 2'
_symmetry_Int_Tables_number 119
_symmetry_space_group_name_Hall 'I -4 -2'
loop_
_atom_site_label
_atom_site_fract_x
_atom_site_fract_y
_atom_site_fract_z
Fe1 0.000 0.000 0.000
Fe2 0.000 0.500 0.250
Pt1 0.000 0.500 0.750
Rh1 0.000 0.000 0.500
```

The value obtained for the density of states at the Fermi level is 9.1 states/eV/cell. The formation energy is -0.1079 eV/atom. Its crystal system is tetragonal.

***

(10)
This record from Alexandria via LeMat-Bulk describes crystalline YMg2Cd at its relaxed geometry. The functional is PBE.

The structure in CIF format:
```
data_YMg2Cd
_chemical_formula_sum 'Y4 Mg8 Cd4'
_cell_length_a 4.416
_cell_length_b 4.416
_cell_length_c 22.182
_cell_angle_alpha 90.00
_cell_angle_beta 90.00
_cell_angle_gamma 90.00
_symmetry_space_group_name_H-M 'I -4 2 d'
_symmetry_Int_Tables_number 122
_symmetry_space_group_name_Hall 'I -4 2bw'
loop_
_atom_site_label
_atom_site_fract_x
_atom_site_fract_y
_atom_site_fract_z
Y1 0.000 0.000 0.000
Mg1 0.235 0.250 0.625
Cd1 0.000 0.000 0.500
```

The value obtained for the density of states at the Fermi level is 10.7 states/eV/cell. The formation energy is 0.1022 eV/atom. Its crystal system is tetragonal.

***

(11)
This record from Alexandria via LeMat-Bulk describes crystalline Tb3Sm2Y2 at its relaxed geometry. The functional is PBE.

The structure in CIF format:
```
data_Tb3Sm2Y2
_chemical_formula_sum 'Tb6 Sm4 Y4'
_cell_length_a 17.569
_cell_length_b 3.523
_cell_length_c 8.571
_cell_angle_alpha 90.00
_cell_angle_beta 119.11
_cell_angle_gamma 90.00
_symmetry_space_group_name_H-M 'C 1 2/m 1'
_symmetry_Int_Tables_number 12
_symmetry_space_group_name_Hall '-C 2y'
loop_
_atom_site_label
_atom_site_fract_x
_atom_site_fract_y
_atom_site_fract_z
Tb1 0.000 0.000 0.000
Tb2 0.212 0.000 0.300
Sm1 0.066 0.500 0.411
Y1 0.148 0.000 0.831
```

The value obtained for the density of states at the Fermi level is 22.0 states/eV/cell. The value obtained for the distance to the lowest polymorph of the same formula is 0.096 eV per atom. The formation energy is 0.1122 eV/atom. Its crystal system is monoclinic.

***

(12)
This record from Alexandria via LeMat-Bulk describes crystalline HfTiGe2 at its relaxed geometry. The functional is PBE.

The structure in CIF format:
```
data_HfTiGe2
_chemical_formula_sum 'Hf4 Ti4 Ge8'
_cell_length_a 6.559
_cell_length_b 6.559
_cell_length_c 6.559
_cell_angle_alpha 90.00
_cell_angle_beta 90.00
_cell_angle_gamma 90.00
_symmetry_space_group_name_H-M 'F m -3 m'
_symmetry_Int_Tables_number 225
_symmetry_space_group_name_Hall '-F 4 2 3'
loop_
_atom_site_label
_atom_site_fract_x
_atom_site_fract_y
_atom_site_fract_z
Hf1 0.000 0.000 0.000
Ti1 0.000 0.000 0.500
Ge1 0.250 0.250 0.250
```

The value obtained for the density of states at the Fermi level is 25.9 states/eV/cell. The value obtained for the distance to the lowest polymorph of the same formula is 0.281 eV per atom. The formation energy is -0.2533 eV/atom. Its crystal system is cubic.